(1)
Computed, not measured: a relaxed Na3NbCr3S8 crystal at the PBE-GGA level of DFT.

Properties
N(E_F) = 8.21 states/eV per cell
Magnetization = 23.9 μB per cell
Formation energy without anion corrections = -0.923 eV per atom

Cell and atoms, written as CIF:
```
data_Na3NbCr3S8
_chemical_formula_sum 'Na9 Nb3 Cr9 S24'
_space_group_name_H-M_alt 'R -3 m'
_space_group_IT_number 166
_space_group_name_Hall '-R 3 2"'
_cell_length_a 7.0140
_cell_length_b 7.0140
_cell_length_c 20.1339
_cell_angle_alpha 90.00
_cell_angle_beta 90.00
_cell_angle_gamma 120.00
loop_
_atom_site_label
_atom_site_type_symbol
_atom_site_fract_x
_atom_site_fract_y
_atom_site_fract_z
Na1 Na 0.0000 0.5000 0.0000
Nb1 Nb 0.0000 0.0000 0.5000
Cr1 Cr 0.0000 0.5000 0.5000
S1 S 0.0000 0.0000 0.2319
S2 S 0.0122 0.5061 0.7645
```



(2)
Computed, not measured: a relaxed Ag2PdAu crystal at the PBE-GGA level of DFT.

Properties
Formation energy = -0.10 eV per formula unit
N(E_F) = 4.45 states/eV per cell
Magnetization = 0.0 μB per cell

Cell and atoms, written as CIF:
```
data_Ag2PdAu
_chemical_formula_sum 'Ag8 Pd4 Au4'
_space_group_name_H-M_alt 'F m -3 m'
_space_group_IT_number 225
_space_group_name_Hall '-F 4 2 3'
_cell_length_a 6.5201
_cell_length_b 6.5201
_cell_length_c 6.5201
_cell_angle_alpha 90.00
_cell_angle_beta 90.00
_cell_angle_gamma 90.00
loop_
_atom_site_label
_atom_site_type_symbol
_atom_site_fract_x
_atom_site_fract_y
_atom_site_fract_z
Ag1 Ag 0.2500 0.2500 0.2500
Pd1 Pd 0.0000 0.0000 0.0000
Au1 Au 0.0000 0.0000 0.5000
```